A geometry-optimized CaNdTiMnO6 structure. Source: Alexandria, functional GGA+U.

Summary:
space-group type: Pc (7)
uncorrected energy: -0.581 Ry per atom
density: 5.51 Mg/m³
size of the total moment: 0.200 μB per atom

Cell lengths 5.5292, 5.4243, 9.4455 Å; angles 54.54, 90.00, 90.00 degrees
Fractional coordinates of all 20 atoms:
Ti: 0.2560 0.0006 0.9994
Ti: 0.7440 0.0006 0.4994
O: 0.4599 0.8331 0.4588
O: 0.2690 0.6703 0.2499
O: 0.7665 0.3301 0.2501
O: 0.0421 0.7541 0.9581
O: 0.9606 0.1661 0.0419
O: 0.0394 0.1661 0.5419
O: 0.4574 0.2477 0.0412
O: 0.7310 0.6703 0.7499
O: 0.5401 0.8331 0.9588
O: 0.5426 0.2477 0.5412
O: 0.2335 0.3301 0.7501
O: 0.9579 0.7541 0.4581
Nd: 0.1996 0.2397 0.2486
Nd: 0.8004 0.2397 0.7486
Mn: 0.7494 0.4996 0.0002
Mn: 0.2506 0.4996 0.5002
Ca: 0.2969 0.7585 0.7520
Ca: 0.7031 0.7585 0.2520